Ti2GaPd: optimized geometry, GGA-PBE.

Summary:
formation enthalpy at 0 K	-174	kJ/mol of formula units
space-group type	C2/m, No. 12
crystal system	monoclinic
total moment	0.000	μB per atom

The structure in POSCAR format:
```
Ti2GaPd
1.0
6.410 -1.480 0.000
6.410 1.480 0.000
-0.902 0.000 6.744
Ti Ga Pd
4 2 2
Cartesian
0.218 0.000 1.480 Ti
2.706 0.000 4.669 Ti
9.212 0.000 2.075 Ti
11.700 0.000 5.264 Ti
4.778 0.000 3.007 Ga
7.140 0.000 3.737 Ga
4.518 0.000 0.339 Pd
7.400 0.000 6.406 Pd
```

***

MgAlNi2: optimized geometry, GGA-PBE.

Summary:
formation enthalpy at 0 K	6	kJ/mol of formula units
space-group type	I-42d, No. 122
crystal system	tetragonal
total moment	0.000	μB per atom

The structure in POSCAR format:
```
MgAlNi2
1.0
-3.291 3.291 2.686
3.291 -3.291 2.686
3.291 3.291 -2.686
Mg Al Ni
2 2 4
Cartesian
0.000 0.000 0.000 Mg
0.000 3.291 1.343 Mg
3.291 0.000 1.343 Al
0.000 0.000 2.686 Al
1.645 -1.489 2.014 Ni
1.802 1.645 0.671 Ni
1.645 4.780 -0.671 Ni
1.489 1.645 3.357 Ni
```

***

Sr2CaP2: optimized geometry, GGA-PBE.

Summary:
formation enthalpy at 0 K	-260	kJ/mol of formula units
space-group type	I4/mmm, No. 139
distance to the lowest polymorph of the same formula	515	meV/atom
crystal system	tetragonal
total moment	0.000	μB per atom

The structure in POSCAR format:
```
Sr2CaP2
1.0
-2.419 2.419 6.155
2.419 -2.419 6.155
2.419 2.419 -6.155
Sr Ca P
2 1 2
Cartesian
2.419 0.000 3.078 Sr
0.000 2.419 3.078 Sr
0.000 0.000 0.000 Ca
0.000 0.000 4.991 P
0.000 0.000 7.319 P
```

***

BiPPt3: optimized geometry, GGA-PBE.

Summary:
formation enthalpy at 0 K	726	kJ/mol of formula units
space-group type	Pm-3m, No. 221
distance to the lowest polymorph of the same formula	1792	meV/atom
crystal system	cubic
total moment	0.000	μB per atom

The structure in POSCAR format:
```
BiPPt3
1.0
5.056 0.000 0.000
0.000 5.056 0.000
0.000 0.000 5.056
Bi P Pt
1 1 3
Cartesian
0.000 0.000 0.000 Bi
2.528 2.528 2.528 P
0.000 0.000 2.528 Pt
0.000 2.528 0.000 Pt
2.528 0.000 0.000 Pt
```

***

What did the second record say?
MgAlNi2: optimized geometry, GGA-PBE.

Summary:
formation enthalpy at 0 K	6	kJ/mol of formula units
space-group type	I-42d, No. 122
crystal system	tetragonal
total moment	0.000	μB per atom

The structure in POSCAR format:
```
MgAlNi2
1.0
-3.291 3.291 2.686
3.291 -3.291 2.686
3.291 3.291 -2.686
Mg Al Ni
2 2 4
Cartesian
0.000 0.000 0.000 Mg
0.000 3.291 1.343 Mg
3.291 0.000 1.343 Al
0.000 0.000 2.686 Al
1.645 -1.489 2.014 Ni
1.802 1.645 0.671 Ni
1.645 4.780 -0.671 Ni
1.489 1.645 3.357 Ni
```

***

Question: Which value of formation enthalpy at 0 K does entry 4 give?
Answer: 726 kJ/mol of formula units

***

Question: Which value of formation enthalpy at 0 K does entry 1 give?
Answer: -174 kJ/mol of formula units